Record 1
First-principles (meta-GGA SCAN) data for KNb6S8 at its PBEsol-relaxed geometry, as listed in Alexandria.

Energy relative to the elements, uncorrected   -19.4 eV per formula unit

Unit cell a=3.3768 b=9.5811 c=9.5811 alpha=120.00 beta=90.00 gamma=90.00
Closest atoms and distances in Å follow each position.
Element x y z (fractional)
1 S 0.2493 0.3333 0.6667  6 Nb 2.58
2 S 0.2478 0.3447 0.0579  4 Nb 2.46-2.62
3 S 0.7522 0.6553 0.9421  4 Nb 2.46-2.62
4 S 0.7507 0.6667 0.3333  6 Nb 2.58
5 S 0.7522 0.2868 0.3447  4 Nb 2.46-2.62
6 S 0.2478 0.7132 0.6553  4 Nb 2.46-2.62
7 S 0.2478 0.9421 0.2868  4 Nb 2.46-2.62
8 S 0.7522 0.0579 0.7132  4 Nb 2.46-2.62
9 Nb 0.7492 0.3737 0.8868  6 S 2.46-2.62
10 Nb 0.2508 0.8868 0.5132  6 S 2.46-2.62
11 Nb 0.7492 0.1132 0.4868  6 S 2.46-2.62
12 Nb 0.7492 0.5132 0.6263  6 S 2.46-2.62
13 Nb 0.2508 0.6263 0.1132  6 S 2.46-2.62
14 Nb 0.2508 0.4868 0.3737  6 S 2.46-2.62
15 K 0.5000 0.0000 0.0000  6 S 3.18, 2 K 3.38

Record 2
First-principles (meta-GGA SCAN) data for MgMnMo2 at its PBEsol-relaxed geometry, as listed in Alexandria.

Energy of formation   141 kJ/mol of formula units

Unit cell a=2.9383 b=2.9383 c=6.9209 alpha=90.00 beta=90.00 gamma=90.00
Closest atoms and distances in Å follow each position.
Element x y z (fractional)
1 Mo 0.0000 0.0000 0.9613  4 Mn 2.41
2 Mo 0.5000 0.5000 0.2301  8 Mo 2.79-2.94, 4 Mg 2.91, 1 Mn 3.09
3 Mn 0.5000 0.5000 0.7840  4 Mo 2.41
4 Mg 0.0000 0.0000 0.5247  4 Mn 2.75, 5 Mo 2.91-3.02, 4 Mg 2.94

Record 3
First-principles (meta-GGA SCAN) data for MnCoAs2Se at its PBEsol-relaxed geometry, as listed in Alexandria.

Energy relative to the elements, uncorrected   3.1 eV per formula unit

Unit cell a=4.4496 b=4.4496 c=4.8143 alpha=90.00 beta=90.00 gamma=90.00
Closest atoms and distances in Å follow each position.
Element x y z (fractional)
1 As 0.5000 0.0000 0.0000  2 Mn 2.22
2 As 0.0000 0.5000 0.0000  2 Mn 2.22
3 Mn 0.0000 0.0000 0.0000  4 As 2.22, 2 Se 2.41
4 Co 0.5000 0.5000 0.5000  4 Se 3.15, 8 As 3.28
5 Se 0.0000 0.0000 0.5000  2 Mn 2.41

Record 4
First-principles (meta-GGA SCAN) data for Ce2C3 at its PBEsol-relaxed geometry, as listed in Alexandria.

Energy of formation   -164 kJ/mol of formula units

Unit cell a=7.1785 b=7.1785 c=7.1785 alpha=109.47 beta=109.47 gamma=109.47
Closest atoms and distances in Å follow each position.
Element x y z (fractional)
1 C 0.0420 0.2500 0.2920  1 C 1.38
2 C 0.2500 0.7920 0.5420  1 C 1.38
3 C 0.7080 0.4580 0.2500  1 C 1.38
4 C 0.2920 0.7500 0.0420  1 C 1.38
5 C 0.9580 0.2080 0.7500  1 C 1.38
6 C 0.2500 0.9580 0.7080  1 C 1.38
7 C 0.7500 0.5420 0.7920  1 C 1.38
8 C 0.4580 0.7500 0.2080  1 C 1.38
9 C 0.5420 0.2920 0.2500  1 C 1.38
10 C 0.7920 0.0420 0.7500  1 C 1.38
11 C 0.7500 0.7080 0.9580  1 C 1.38
12 C 0.2080 0.2500 0.4580  1 C 1.38
13 Ce 0.5994 0.0000 0.0000  6 C 2.52-2.64
14 Ce 0.0000 0.5000 0.5994  6 C 2.52-2.64
15 Ce 0.4006 0.4006 0.9006  6 C 2.52-2.64
16 Ce 0.9006 0.9006 0.4006  6 C 2.52-2.64
17 Ce 0.5000 0.0994 0.5000  6 C 2.52-2.64
18 Ce 0.0994 0.0000 0.0000  6 C 2.52-2.64
19 Ce 0.5000 0.5994 0.5000  6 C 2.52-2.64
20 Ce 0.0000 0.5000 0.0994  6 C 2.52-2.64

Record 5
First-principles (meta-GGA SCAN) data for Pr3Al at its PBEsol-relaxed geometry, as listed in Alexandria.

Energy relative to the lowest polymorph listed for this composition   0 meV per atom
Energy of formation   -84 kJ/mol of formula units

Unit cell a=5.3712 b=7.0257 c=7.0257 alpha=120.00 beta=90.00 gamma=90.00
Closest atoms and distances in Å follow each position.
Element x y z (fractional)
1 Pr 0.7500 0.1784 0.8216  6 Pr 3.26-3.45, 4 Al 3.28-3.52
2 Pr 0.2500 0.3569 0.1784  6 Pr 3.26-3.45, 4 Al 3.28-3.52
3 Pr 0.2500 0.8216 0.6431  6 Pr 3.26-3.45, 4 Al 3.28-3.52
4 Pr 0.7500 0.6431 0.8216  6 Pr 3.26-3.45, 4 Al 3.28-3.52
5 Pr 0.7500 0.1784 0.3569  6 Pr 3.26-3.45, 4 Al 3.28-3.52
6 Pr 0.2500 0.8216 0.1784  6 Pr 3.26-3.45, 4 Al 3.28-3.52
7 Al 0.2500 0.3333 0.6667  12 Pr 3.28-3.52
8 Al 0.7500 0.6667 0.3333  12 Pr 3.28-3.52

Record 6
First-principles (meta-GGA SCAN) data for Cd2SbPb at its PBEsol-relaxed geometry, as listed in Alexandria.

Energy relative to the lowest polymorph listed for this composition   50 meV per atom
Energy relative to the elements, uncorrected   0.4 eV per formula unit

Unit cell a=4.3916 b=4.5163 c=5.9954 alpha=112.13 beta=111.48 gamma=90.00
Closest atoms and distances in Å follow each position.
Element x y z (fractional)
1 Sb 0.2542 0.7542 0.5084  8 Cd 3.15-3.45, 4 Pb 3.38-3.39
2 Cd 0.7459 0.2459 0.4917  4 Sb 3.15, 4 Cd 3.35-3.42, 4 Pb 3.36-3.41
3 Cd 0.9980 0.9980 0.9961  4 Pb 3.15, 4 Sb 3.32-3.45, 4 Cd 3.35-3.42
4 Pb 0.5019 0.5019 0.0039  8 Cd 3.15-3.41, 4 Sb 3.38-3.39

Record 7
First-principles (meta-GGA SCAN) data for LiBe2Ir at its PBEsol-relaxed geometry, as listed in Alexandria.

Energy of formation   -195 kJ/mol of formula units

Unit cell a=2.7848 b=3.8368 c=3.8368 alpha=90.00 beta=90.00 gamma=90.00
Closest atoms and distances in Å follow each position.
Element x y z (fractional)
1 Be 0.0000 0.5000 0.0000  4 Li 2.37, 4 Ir 2.37
2 Be 0.0000 0.0000 0.5000  4 Li 2.37, 4 Ir 2.37
3 Ir 0.5000 0.0000 0.0000  8 Be 2.37
4 Li 0.5000 0.5000 0.5000  8 Be 2.37

Record 8
First-principles (meta-GGA SCAN) data for Be2GaRh2 at its PBEsol-relaxed geometry, as listed in Alexandria.

Energy relative to the lowest polymorph listed for this composition   217 meV per atom
Energy of formation   -236 kJ/mol of formula units

Unit cell a=2.9794 b=2.9794 c=6.8538 alpha=102.55 beta=102.55 gamma=90.00
Closest atoms and distances in Å follow each position.
Element x y z (fractional)
1 Rh 0.6134 0.6134 0.2268  4 Be 2.32, 4 Ga 2.57
2 Rh 0.3866 0.3866 0.7732  4 Be 2.32, 4 Ga 2.57
3 Be 0.2500 0.7500 0.5000  4 Be 2.11, 4 Rh 2.32
4 Be 0.7500 0.2500 0.5000  4 Be 2.11, 4 Rh 2.32
5 Ga 0.0000 0.0000 0.0000  8 Rh 2.57

Record 9
First-principles (meta-GGA SCAN) data for YCdTc at its PBEsol-relaxed geometry, as listed in Alexandria.

Energy relative to the lowest polymorph listed for this composition   838 meV per atom
Energy of formation   312 kJ/mol of formula units

Unit cell a=4.6859 b=4.6859 c=4.6859 alpha=60.00 beta=60.00 gamma=60.00
Closest atoms and distances in Å follow each position.
Element x y z (fractional)
1 Y 0.2500 0.2500 0.2500  4 Cd 2.87, 4 Tc 2.87
2 Tc 0.5000 0.5000 0.5000  4 Y 2.87
3 Cd 0.0000 0.0000 0.0000  4 Y 2.87

Record 10
First-principles (meta-GGA SCAN) data for Mg2TcAu2 at its PBEsol-relaxed geometry, as listed in Alexandria.

Energy of formation   61 kJ/mol of formula units

Unit cell a=3.8743 b=3.8743 c=6.8068 alpha=106.53 beta=106.53 gamma=90.00
Closest atoms and distances in Å follow each position.
Element x y z (fractional)
1 Mg 0.2500 0.7500 0.5000  4 Au 2.65, 4 Mg 2.74
2 Mg 0.7500 0.2500 0.5000  4 Au 2.65, 4 Mg 2.74
3 Au 0.6044 0.6044 0.2088  1 Au 2.60, 4 Mg 2.65
4 Au 0.3956 0.3956 0.7912  1 Au 2.60, 4 Mg 2.65
5 Tc 0.0000 0.0000 0.0000  8 Au 3.03

Record 11
First-principles (meta-GGA SCAN) data for RbPt at its PBEsol-relaxed geometry, as listed in Alexandria.

Energy of formation   -36 kJ/mol of formula units

Unit cell a=4.5179 b=4.5182 c=14.3813 alpha=89.82 beta=90.00 gamma=120.00
Closest atoms and distances in Å follow each position.
Element x y z (fractional)
1 Rb 0.6983 0.3967 0.5306  1 Pt 3.01
2 Rb 0.0264 0.0529 0.9138  1 Pt 3.01
3 Rb 0.3531 0.7063 0.2222  6 Rb 4.52
4 Pt 0.0297 0.0595 0.7046  6 Pt 2.62-2.66
5 Pt 0.6961 0.3922 0.7399  6 Pt 2.62-2.66
6 Pt 0.3629 0.7258 0.7223  6 Pt 2.62

Record 12
First-principles (meta-GGA SCAN) data for PbCS2Cl at its PBEsol-relaxed geometry, as listed in Alexandria.

Energy relative to the elements, uncorrected   3.6 eV per formula unit

Unit cell a=4.1801 b=4.1801 c=4.8902 alpha=90.00 beta=90.00 gamma=90.00
Closest atoms and distances in Å follow each position.
Element x y z (fractional)
1 C 0.0000 0.0000 0.0000  4 S 2.09
2 Cl 0.0000 0.0000 0.5000  2 C 2.45
3 S 0.0000 0.5000 0.0000  2 C 2.09
4 S 0.5000 0.0000 0.0000  2 C 2.09
5 Pb 0.5000 0.5000 0.5000  4 Cl 2.96, 8 S 3.22

Record 13
First-principles (meta-GGA SCAN) data for LiSiTe2 at its PBEsol-relaxed geometry, as listed in Alexandria.

Energy relative to the lowest polymorph listed for this composition   404 meV per atom
Energy relative to the elements, uncorrected   0.4 eV per formula unit

Unit cell a=4.9256 b=5.0878 c=4.9256 alpha=61.05 beta=90.00 gamma=118.95
Closest atoms and distances in Å follow each position.
Element x y z (fractional)
1 Te 0.7500 0.5000 0.7500  4 Si 3.08, 4 Li 3.08
2 Te 0.2500 0.5000 0.2500  4 Li 3.08, 4 Si 3.08
3 Li 0.5000 0.0000 0.5000  8 Te 3.08
4 Si 0.0000 0.0000 0.0000  8 Te 3.08

Record 14
First-principles (meta-GGA SCAN) data for NiOsNO2 at its PBEsol-relaxed geometry, as listed in Alexandria.

Energy relative to the elements, uncorrected   4.6 eV per formula unit

Unit cell a=3.5862 b=3.5862 c=3.6668 alpha=90.00 beta=90.00 gamma=90.00
Closest atoms and distances in Å follow each position.
Element x y z (fractional)
1 N 0.0000 0.0000 0.5000  2 Ni 1.83
2 O 0.5000 0.0000 0.0000  2 Ni 1.79
3 O 0.0000 0.5000 0.0000  2 Ni 1.79
4 Ni 0.0000 0.0000 0.0000  4 O 1.79, 2 N 1.83
5 Os 0.5000 0.5000 0.5000  4 N 2.54, 8 O 2.56

Record 15
First-principles (meta-GGA SCAN) data for CdCo2Ru at its PBEsol-relaxed geometry, as listed in Alexandria.

Energy of formation   125 kJ/mol of formula units

Unit cell a=2.7219 b=4.3926 c=5.1112 alpha=115.45 beta=105.44 gamma=90.00
Closest atoms and distances in Å follow each position.
Element x y z (fractional)
1 Co 0.9766 0.9766 0.9532  2 Co 2.35, 4 Ru 2.62
2 Co 0.2594 0.7594 0.5189  2 Co 2.35, 2 Ru 2.49, 4 Cd 2.59
3 Cd 0.7414 0.2414 0.4828  6 Co 2.59-2.70, 2 Cd 2.72, 2 Ru 2.83
4 Ru 0.5225 0.5225 0.0451  6 Co 2.49-2.62, 2 Ru 2.72

Record 16
First-principles (meta-GGA SCAN) data for SrAl2 at its PBEsol-relaxed geometry, as listed in Alexandria.

Energy of formation   -86 kJ/mol of formula units

Unit cell a=4.7723 b=6.0311 c=6.0311 alpha=80.96 beta=66.69 gamma=66.69
Closest atoms and distances in Å follow each position.
Element x y z (fractional)
1 Sr 0.5503 0.1997 0.6997  12 Al 3.24-3.56
2 Sr 0.4497 0.8003 0.3003  12 Al 3.24-3.56
3 Al 0.1610 0.4068 0.2712  4 Al 2.74-2.85
4 Al 0.1610 0.7712 0.9068  4 Al 2.74-2.85
5 Al 0.8390 0.5932 0.7288  4 Al 2.74-2.85
6 Al 0.8390 0.2288 0.0932  4 Al 2.74-2.85

Record 17
First-principles (meta-GGA SCAN) data for CuAu at its PBEsol-relaxed geometry, as listed in Alexandria.

Energy of formation   -10 kJ/mol of formula units

Unit cell a=2.7810 b=4.9089 c=7.0038 alpha=110.58 beta=90.00 gamma=106.46
Closest atoms and distances in Å follow each position.
Element x y z (fractional)
1 Cu 0.6667 0.3335 0.3769  4 Cu 2.54-2.78, 7 Au 2.61-2.68
2 Cu 0.0481 0.0962 0.5829  6 Cu 2.54-2.78, 5 Au 2.64-2.72
3 Cu 0.7100 0.4200 0.8949  4 Cu 2.57-2.78, 7 Au 2.65-2.83
4 Au 0.0323 0.0646 0.0404  5 Cu 2.63-2.83, 7 Au 2.78-2.92
5 Au 0.3483 0.6966 0.6852  7 Cu 2.61-2.68, 4 Au 2.78-2.82
6 Au 0.3612 0.7224 0.2530  7 Cu 2.68-2.76, 5 Au 2.78-2.92

Record 18
First-principles (meta-GGA SCAN) data for CdTcNi2 at its PBEsol-relaxed geometry, as listed in Alexandria.

Energy of formation   152 kJ/mol of formula units

Unit cell a=3.6812 b=3.6812 c=4.7417 alpha=112.84 beta=112.84 gamma=90.00
Closest atoms and distances in Å follow each position.
Element x y z (fractional)
1 Tc 0.5000 0.5000 0.0000  8 Ni 2.60-2.70, 4 Cd 2.70
2 Ni 0.7500 0.2500 0.5000  4 Cd 2.60, 4 Tc 2.70, 4 Ni 2.70
3 Ni 0.0000 0.0000 0.0000  4 Tc 2.60, 4 Cd 2.70, 4 Ni 2.70
4 Cd 0.2500 0.7500 0.5000  8 Ni 2.60-2.70, 4 Tc 2.70

Record 19
First-principles (meta-GGA SCAN) data for Li2ZrMo at its PBEsol-relaxed geometry, as listed in Alexandria.

Energy relative to the lowest polymorph listed for this composition   0 meV per atom
Energy of formation   120 kJ/mol of formula units

Unit cell a=3.0469 b=4.3601 c=5.8590 alpha=111.84 beta=105.07 gamma=90.00
Closest atoms and distances in Å follow each position.
Element x y z (fractional)
1 Li 0.2378 0.2378 0.4755  4 Li 2.67, 2 Mo 2.91
2 Li 0.7622 0.7622 0.5245  4 Li 2.67, 2 Mo 2.91
3 Zr 0.0000 0.5000 0.0000  4 Mo 2.66
4 Mo 0.5000 0.0000 0.0000  4 Zr 2.66, 4 Li 2.91

Record 20
First-principles (meta-GGA SCAN) data for Al7FeCu2 at its PBEsol-relaxed geometry, as listed in Alexandria.

Energy of formation   -271 kJ/mol of formula units

Unit cell a=6.2655 b=6.2655 c=14.6325 alpha=90.00 beta=90.00 gamma=90.00
Closest atoms and distances in Å follow each position.
Element x y z (fractional)
1 Al 0.7063 0.0845 0.5994  1 Fe 2.42, 3 Cu 2.51-2.56, 3 Al 2.71
2 Al 0.5845 0.2063 0.0994  1 Fe 2.42, 3 Cu 2.51-2.56, 3 Al 2.71
3 Al 0.2063 0.4155 0.0994  1 Fe 2.42, 3 Cu 2.51-2.56, 3 Al 2.71
4 Al 0.7063 0.0845 0.4006  1 Fe 2.42, 3 Cu 2.51-2.56, 3 Al 2.71
5 Al 0.3359 0.1641 0.7500  2 Fe 2.45, 2 Al 2.71
6 Al 0.2937 0.9155 0.4006  1 Fe 2.42, 3 Cu 2.51-2.56, 3 Al 2.71
7 Al 0.7937 0.5845 0.0994  1 Fe 2.42, 3 Cu 2.51-2.56, 3 Al 2.71
8 Al 0.9155 0.7063 0.4006  1 Fe 2.42, 3 Cu 2.51-2.56, 3 Al 2.71
9 Al 0.1641 0.6641 0.2500  2 Fe 2.45, 2 Al 2.71
10 Al 0.4155 0.7937 0.9006  1 Fe 2.42, 3 Cu 2.51-2.56, 3 Al 2.71
11 Al 0.3359 0.1641 0.2500  2 Fe 2.45, 2 Al 2.71
12 Al 0.0845 0.2937 0.5994  1 Fe 2.42, 3 Cu 2.51-2.56, 3 Al 2.71
13 Al 0.2937 0.9155 0.5994  1 Fe 2.42, 3 Cu 2.51-2.56, 3 Al 2.71
14 Al 0.5000 0.5000 0.3669  1 Fe 2.43, 4 Cu 2.64
15 Al 0.1641 0.6641 0.7500  2 Fe 2.45, 2 Al 2.71
16 Al 0.5845 0.2063 0.9006  1 Fe 2.42, 3 Cu 2.51-2.56, 3 Al 2.71
17 Al 0.8359 0.3359 0.7500  2 Fe 2.45, 2 Al 2.71
18 Al 0.7937 0.5845 0.9006  1 Fe 2.42, 3 Cu 2.51-2.56, 3 Al 2.71
19 Al 0.5000 0.5000 0.6331  1 Fe 2.43, 4 Cu 2.64
20 Al 0.0000 0.0000 0.8669  1 Fe 2.43, 4 Cu 2.64
21 Al 0.0000 0.0000 0.1331  1 Fe 2.43, 4 Cu 2.64
22 Al 0.6641 0.8359 0.7500  2 Fe 2.45, 2 Al 2.71
23 Al 0.4155 0.7937 0.0994  1 Fe 2.42, 3 Cu 2.51-2.56, 3 Al 2.71
24 Al 0.2063 0.4155 0.9006  1 Fe 2.42, 3 Cu 2.51-2.56, 3 Al 2.71
25 Al 0.8359 0.3359 0.2500  2 Fe 2.45, 2 Al 2.71
26 Al 0.9155 0.7063 0.5994  1 Fe 2.42, 3 Cu 2.51-2.56, 3 Al 2.71
27 Al 0.0845 0.2937 0.4006  1 Fe 2.42, 3 Cu 2.51-2.56, 3 Al 2.71
28 Al 0.6641 0.8359 0.2500  2 Fe 2.45, 2 Al 2.71
29 Cu 0.5860 0.7707 0.5000  8 Al 2.51-2.64, 2 Cu 2.52
30 Cu 0.7293 0.9140 0.0000  8 Al 2.51-2.64, 2 Cu 2.52
31 Cu 0.2293 0.5860 0.5000  8 Al 2.51-2.64, 2 Cu 2.52
32 Cu 0.0860 0.7293 0.0000  8 Al 2.51-2.64, 2 Cu 2.52
33 Cu 0.7707 0.4140 0.5000  8 Al 2.51-2.64, 2 Cu 2.52
34 Cu 0.4140 0.2293 0.5000  8 Al 2.51-2.64, 2 Cu 2.52
35 Cu 0.9140 0.2707 0.0000  8 Al 2.51-2.64, 2 Cu 2.52
36 Cu 0.2707 0.0860 0.0000  8 Al 2.51-2.64, 2 Cu 2.52
37 Fe 0.5000 0.5000 0.7992  9 Al 2.42-2.45
38 Fe 0.0000 0.0000 0.7008  9 Al 2.42-2.45
39 Fe 0.5000 0.5000 0.2008  9 Al 2.42-2.45
40 Fe 0.0000 0.0000 0.2992  9 Al 2.42-2.45